(1)
The following is a PBE calculation of a geometry-optimized CaI2O12 structure, from Alexandria.

Values from the calculation:
The value obtained for the density is 2.97 g/cm3. The calculation puts the total magnetization at 8.0 μB/cell. As for the formation energy from raw total energies: -0.397 eV/atom. The value obtained for the total energy is -4.70 eV/atom.

Cell: 12.7211 7.3199 13.8508 Å, 65.65 31.62 82.73°
Atoms (fractional coordinates):
Ca (0.0000, 0.0000, 0.0000)
Ca (0.2500, 0.2500, 0.2500)
I (0.0328, 0.0797, 0.7249)
I (0.0797, 0.0328, 0.1626)
I (0.0874, 0.5251, 0.1703)
I (0.5251, 0.0874, 0.2172)
O (0.0210, 0.6733, 0.0958)
O (0.0401, 0.1542, 0.5767)
O (0.0417, 0.3100, 0.1447)
O (0.1053, 0.7464, 0.2083)
O (0.1106, 0.4698, 0.8490)
O (0.1542, 0.0401, 0.2290)
O (0.1600, 0.2837, 0.6771)
O (0.2837, 0.1600, 0.8792)
O (0.2953, 0.6172, 0.7021)
O (0.2991, 0.9120, 0.3503)
O (0.3100, 0.0417, 0.5036)
O (0.3708, 0.5729, 0.9663)
O (0.4010, 0.6793, 0.1394)
O (0.4698, 0.1106, 0.5707)
O (0.5479, 0.8646, 0.9547)
O (0.5729, 0.3708, 0.0900)
O (0.6172, 0.2953, 0.3854)
O (0.6733, 0.0210, 0.2099)
O (0.6793, 0.4010, 0.7802)
O (0.7464, 0.1053, 0.9400)
O (0.8114, 0.8997, 0.3380)
O (0.8646, 0.5479, 0.6328)
O (0.8997, 0.8114, 0.9509)
O (0.9120, 0.2991, 0.4386)


(2)
The following is a PBE calculation of a geometry-optimized LiAc2IrPt structure, from Alexandria.

Values from the calculation:
The value obtained for the density is 10.85 g/cm3. The calculation puts the total magnetization at 0.0 μB/cell. The value obtained for the total energy is -5.73 eV/atom.

Cell: 4.2914 4.2914 14.1019 Å, 90.00 90.00 90.00°
Atoms (fractional coordinates):
Li (0.2500, 0.7500, 0.0000)
Li (0.7500, 0.2500, 0.0000)
Ac (0.2500, 0.2500, 0.1866)
Ac (0.2500, 0.2500, 0.6106)
Ac (0.7500, 0.7500, 0.3894)
Ac (0.7500, 0.7500, 0.8134)
Ir (0.2500, 0.2500, 0.3891)
Ir (0.7500, 0.7500, 0.6109)
Pt (0.2500, 0.2500, 0.8708)
Pt (0.7500, 0.7500, 0.1292)


(3)
The following is a PBE calculation of a geometry-optimized TiGaHPt2 structure, from Alexandria.

Values from the calculation:
The value obtained for the density is 12.98 g/cm3. The calculation puts the total magnetization at 0.0 μB/cell. The value obtained for the total energy is -5.69 eV/atom.

Cell: 3.9487 3.9487 4.1756 Å, 90.00 90.00 90.00°
Atoms (fractional coordinates):
Ti (0.0000, 0.0000, 0.0000)
Ga (0.5000, 0.5000, 0.0000)
H (0.0000, 0.0000, 0.5000)
Pt (0.0000, 0.5000, 0.5000)
Pt (0.5000, 0.0000, 0.5000)


(4)
The following is a PBE calculation of a geometry-optimized Tm4As3Se structure, from Alexandria.

Values from the calculation:
The value obtained for the density is 8.65 g/cm3. The calculation puts the total magnetization at 0.0 μB/cell. The distance to the lowest polymorph of the same formula comes out at 0.0105 eV per atom. As for the formation energy from raw total energies: -1.590 eV/atom. The value obtained for the total energy is -6.00 eV/atom.

Cell: 5.7285 5.7285 5.7285 Å, 90.00 90.00 90.00°
Atoms (fractional coordinates):
Tm (0.0000, 0.0000, 0.0000)
Tm (0.0000, 0.5000, 0.5000)
Tm (0.5000, 0.0000, 0.5000)
Tm (0.5000, 0.5000, 0.0000)
As (0.0000, 0.0000, 0.5000)
As (0.0000, 0.5000, 0.0000)
As (0.5000, 0.0000, 0.0000)
Se (0.5000, 0.5000, 0.5000)


(5)
The following is a PBE calculation of a geometry-optimized La2TbTh structure, from Alexandria.

Values from the calculation:
The value obtained for the density is 8.10 g/cm3. The calculation puts the total magnetization at 0.0 μB/cell. The distance to the lowest polymorph of the same formula comes out at 0.0086 eV per atom. The value obtained for the total energy is -5.44 eV/atom.

Cell: 12.0621 12.0621 12.0621 Å, 17.41 17.41 17.41°
Atoms (fractional coordinates):
La (0.0000, 0.0000, 0.0000)
La (0.1698, 0.1698, 0.1698)
Tb (0.4180, 0.4180, 0.4180)
Th (0.5853, 0.5853, 0.5853)


(6)
The following is a PBE calculation of a geometry-optimized ScTlCd2 structure, from Alexandria.

Values from the calculation:
The value obtained for the density is 8.20 g/cm3. The calculation puts the total magnetization at 0.1 μB/cell. The distance to the lowest polymorph of the same formula comes out at 0.1181 eV per atom. The value obtained for the total energy is -2.69 eV/atom.

Cell: 6.3677 6.3677 3.2680 Å, 104.38 104.38 122.32°
Atoms (fractional coordinates):
Sc (0.0000, 0.0000, 0.0000)
Tl (0.5000, 0.5000, 0.0000)
Cd (0.0000, 0.5000, 0.5000)
Cd (0.5000, 0.0000, 0.5000)


(7)
The following is a PBE calculation of a geometry-optimized Tm2Tl3AgTe6 structure, from Alexandria.

Values from the calculation:
The value obtained for the density is 7.72 g/cm3. The calculation puts the total magnetization at 0.0 μB/cell. As for the formation energy from raw total energies: -0.665 eV/atom. The value obtained for the total energy is -3.81 eV/atom.

Cell: 7.6452 7.6452 8.1577 Å, 98.86 98.86 120.11°
Atoms (fractional coordinates):
Tm (0.1646, 0.8354, 0.0000)
Tm (0.8354, 0.1646, 0.0000)
Tl (0.0000, 0.0000, 0.5000)
Tl (0.3225, 0.6775, 0.5000)
Tl (0.6775, 0.3225, 0.5000)
Ag (0.5000, 0.5000, 0.0000)
Te (0.1008, 0.4314, 0.7872)
Te (0.2406, 0.2406, 0.2229)
Te (0.4314, 0.1008, 0.7872)
Te (0.5686, 0.8992, 0.2128)
Te (0.7594, 0.7594, 0.7771)
Te (0.8992, 0.5686, 0.2128)


(8)
The following is a PBE calculation of a geometry-optimized NaSrLiPb2 structure, from Alexandria.

Values from the calculation:
The value obtained for the density is 5.96 g/cm3. The calculation puts the total magnetization at 0.0 μB/cell. The distance to the lowest polymorph of the same formula comes out at 0.0535 eV per atom. The value obtained for the total energy is -2.68 eV/atom.

Cell: 5.3198 5.3198 5.2359 Å, 90.00 90.00 90.00°
Atoms (fractional coordinates):
Na (0.0000, 0.0000, 0.0000)
Sr (0.5000, 0.5000, 0.0000)
Li (0.0000, 0.0000, 0.5000)
Pb (0.0000, 0.5000, 0.5000)
Pb (0.5000, 0.0000, 0.5000)


(9)
The following is a PBE calculation of a geometry-optimized Ac4In3Ag2 structure, from Alexandria.

Values from the calculation:
The value obtained for the density is 8.41 g/cm3. The calculation puts the total magnetization at 0.0 μB/cell. The value obtained for the total energy is -3.67 eV/atom.

Cell: 5.4978 5.4978 11.0725 Å, 90.00 90.00 120.00°
Atoms (fractional coordinates):
Ac (0.0000, 0.0000, 0.1694)
Ac (0.0000, 0.0000, 0.8306)
Ac (0.3333, 0.6667, 0.6169)
Ac (0.6667, 0.3333, 0.3831)
In (0.0000, 0.0000, 0.5000)
In (0.3333, 0.6667, 0.9711)
In (0.6667, 0.3333, 0.0289)
Ag (0.3333, 0.6667, 0.3070)
Ag (0.6667, 0.3333, 0.6930)


(10)
The following is a PBE calculation of a geometry-optimized Ce2NpC structure, from Alexandria.

Values from the calculation:
The value obtained for the density is 11.07 g/cm3. The calculation puts the total magnetization at 3.7 μB/cell. The distance to the lowest polymorph of the same formula comes out at 0.0900 eV per atom. The value obtained for the total energy is -8.19 eV/atom.

Cell: 3.1427 3.1427 8.0416 Å, 90.00 90.00 90.00°
Atoms (fractional coordinates):
Ce (0.0000, 0.0000, 0.1757)
Ce (0.0000, 0.0000, 0.8243)
Np (0.5000, 0.5000, 0.5000)
C (0.5000, 0.5000, 0.0000)


(11)
The following is a PBE calculation of a geometry-optimized Ni3Pt6Rh structure, from Alexandria.

Values from the calculation:
The value obtained for the density is 16.11 g/cm3. The calculation puts the total magnetization at 5.2 μB/cell. The distance to the lowest polymorph of the same formula comes out at 0.1804 eV per atom. The value obtained for the total energy is -5.93 eV/atom.

Cell: 7.9083 7.9083 5.0802 Å, 90.00 90.00 109.86°
Atoms (fractional coordinates):
Ni (0.1251, 0.8749, 0.5000)
Ni (0.2140, 0.4177, 0.1622)
Ni (0.4177, 0.2140, 0.6622)
Ni (0.5823, 0.7860, 0.1622)
Ni (0.7860, 0.5823, 0.6622)
Ni (0.8749, 0.1251, 0.0000)
Pt (0.0340, 0.4509, 0.7670)
Pt (0.1057, 0.1900, 0.5172)
Pt (0.1900, 0.1057, 0.0172)
Pt (0.2361, 0.7639, 0.9699)
Pt (0.4509, 0.0340, 0.2670)
Pt (0.4650, 0.5350, 0.8282)
Pt (0.5350, 0.4650, 0.3282)
Pt (0.5491, 0.9660, 0.7670)
Pt (0.7639, 0.2361, 0.4699)
Pt (0.8100, 0.8943, 0.5172)
Pt (0.8943, 0.8100, 0.0172)
Pt (0.9660, 0.5491, 0.2670)
Rh (0.3174, 0.6826, 0.4757)
Rh (0.6826, 0.3174, 0.9757)